Record 1
DFT (GGA-PBE) results for crystalline Sr2Zn3CuSn4 at its relaxed geometry.

Unit cell a=4.6669 b=4.6669 c=11.2832 alpha=90.00 beta=90.00 gamma=90.00
Fractional coordinates of all 10 atoms:
Sr1 0.0000 0.5000 0.2363
Sr2 0.5000 0.0000 0.7637
Zn1 0.0000 0.0000 0.0000
Zn2 0.0000 0.5000 0.6413
Zn3 0.5000 0.0000 0.3587
Cu1 0.5000 0.5000 0.0000
Sn1 0.0000 0.0000 0.5000
Sn2 0.0000 0.5000 0.8754
Sn3 0.5000 0.0000 0.1246
Sn4 0.5000 0.5000 0.5000

Properties
The calculation puts the formation energy at -3.45 eV per formula unit. The volume is 245.7 Å³/f.u.



Record 2
DFT (GGA-PBE) results for crystalline In4CuW at its relaxed geometry.

Unit cell a=5.6792 b=5.6792 c=5.6792 alpha=60.00 beta=60.00 gamma=60.00
Fractional coordinates of all 6 atoms:
In1 0.1251 0.1251 0.1251
In2 0.1251 0.1251 0.6246
In3 0.1251 0.6246 0.1251
In4 0.6246 0.1251 0.1251
Cu1 0.5000 0.5000 0.5000
W1 0.7500 0.7500 0.7500

Properties
The calculation puts the formation energy at 6.05 eV per formula unit. The volume is 129.5 Å³/f.u.



Record 3
DFT (GGA-PBE) results for crystalline Ca2PuTe3 at its relaxed geometry.

Unit cell a=7.8083 b=7.8083 c=7.8083 alpha=146.51 beta=131.85 gamma=59.92
Fractional coordinates of all 6 atoms:
Ca1 0.1668 0.1668 0.0000
Ca2 0.8332 0.8332 0.0000
Pu1 0.5000 0.5000 0.0000
Te1 0.0000 0.5000 0.5000
Te2 0.3336 0.8336 0.5000
Te3 0.6664 0.1664 0.5000

Properties
As for the uncorrected formation energy: -1.415 eV per atom. The volume is 193.9 Å³/f.u.



Record 4
DFT (GGA-PBE) results for crystalline Tl2HgAu at its relaxed geometry.

Unit cell a=9.7376 b=9.7376 c=9.7376 alpha=21.65 beta=21.65 gamma=21.65
Fractional coordinates of all 4 atoms:
Tl1 0.0000 0.0000 0.0000
Tl2 0.2301 0.2301 0.2301
Hg1 0.4770 0.4770 0.4770
Au1 0.7393 0.7393 0.7393

Properties
The calculation puts the formation energy at 0.09 eV per formula unit. The volume is 110.1 Å³/f.u.



Record 5
DFT (GGA-PBE) results for crystalline TlCu2Mo at its relaxed geometry.

Unit cell a=2.9434 b=2.9434 c=7.3304 alpha=90.00 beta=90.00 gamma=90.00
Fractional coordinates of all 4 atoms:
Tl1 0.0000 0.0000 0.0000
Cu1 0.0000 0.0000 0.4680
Cu2 0.5000 0.5000 0.2791
Mo1 0.5000 0.5000 0.6900

Properties
The calculation puts the formation energy at 1.70 eV per formula unit. The volume is 63.5 Å³/f.u.



Record 6
DFT (GGA-PBE) results for crystalline HoPaS3 at its relaxed geometry.

Unit cell a=7.3322 b=3.8695 c=14.8795 alpha=90.00 beta=90.00 gamma=90.00
Fractional coordinates of all 20 atoms:
Ho1 0.2407 0.2500 0.0440
Ho2 0.2593 0.7500 0.5440
Ho3 0.7407 0.2500 0.4560
Ho4 0.7593 0.7500 0.9560
Pa1 0.1238 0.7500 0.2894
Pa2 0.3762 0.2500 0.7894
Pa3 0.6238 0.7500 0.2106
Pa4 0.8762 0.2500 0.7106
S1 0.0070 0.7500 0.1070
S2 0.1240 0.2500 0.4303
S3 0.1514 0.7500 0.7238
S4 0.3486 0.2500 0.2238
S5 0.3760 0.7500 0.9303
S6 0.4930 0.2500 0.6070
S7 0.5070 0.7500 0.3930
S8 0.6240 0.2500 0.0697
S9 0.6514 0.7500 0.7762
S10 0.8486 0.2500 0.2762
S11 0.8760 0.7500 0.5697
S12 0.9930 0.2500 0.8930

Properties
As for the uncorrected formation energy: -1.851 eV per atom. The volume is 105.5 Å³/f.u.



Record 7
DFT (GGA-PBE) results for crystalline InGa2Os at its relaxed geometry.

Unit cell a=9.4464 b=9.4464 c=9.4464 alpha=154.84 beta=154.84 gamma=35.87
Fractional coordinates of all 8 atoms:
In1 0.0000 0.0000 0.0000
In2 0.7500 0.2500 0.5000
Ga1 0.1825 0.6250 0.0575
Ga2 0.3750 0.4325 0.5575
Ga3 0.5675 0.1250 0.9425
Ga4 0.8750 0.8175 0.4425
Os1 0.2500 0.7500 0.5000
Os2 0.5000 0.5000 0.0000

Properties
The calculation puts the formation energy at 1.69 eV per formula unit. The volume is 76.1 Å³/f.u.



Record 8
DFT (GGA-PBE) results for crystalline Na2Te2S5 at its relaxed geometry.

Unit cell a=8.4723 b=8.4723 c=6.3788 alpha=106.09 beta=106.09 gamma=35.65
Fractional coordinates of all 9 atoms:
Na1 0.0725 0.0725 0.3049
Na2 0.9275 0.9275 0.6951
Te1 0.3463 0.3463 0.0902
Te2 0.6537 0.6537 0.9098
S1 0.1671 0.1671 0.9959
S2 0.3860 0.3860 0.4689
S3 0.5000 0.5000 0.0000
S4 0.6140 0.6140 0.5311
S5 0.8329 0.8329 0.0041

Properties
As for the uncorrected formation energy: -0.278 eV per atom. The volume is 255.3 Å³/f.u.



Record 9
DFT (GGA-PBE) results for crystalline TiZn2Au at its relaxed geometry.

Unit cell a=5.7715 b=5.7715 c=5.7715 alpha=102.86 beta=102.86 gamma=123.71
Fractional coordinates of all 8 atoms:
Ti1 0.0000 0.0000 0.0000
Ti2 0.7500 0.2500 0.5000
Zn1 0.1352 0.6250 0.0102
Zn2 0.3750 0.3852 0.5102
Zn3 0.6148 0.1250 0.9898
Zn4 0.8750 0.8648 0.4898
Au1 0.2500 0.7500 0.5000
Au2 0.5000 0.5000 0.0000

Properties
The calculation puts the formation energy at 0.32 eV per formula unit. The volume is 70.5 Å³/f.u.



Record 10
DFT (GGA-PBE) results for crystalline CrOsPb2 at its relaxed geometry.

Unit cell a=6.4936 b=6.4936 c=6.4936 alpha=149.67 beta=138.94 gamma=51.89
Fractional coordinates of all 4 atoms:
Cr1 0.0000 0.0000 0.0000
Os1 0.1355 0.6355 0.5000
Pb1 0.4237 0.4237 0.0000
Pb2 0.7023 0.2023 0.5000

Properties
The calculation puts the formation energy at 2.96 eV per formula unit. The volume is 90.3 Å³/f.u.



Record 11
DFT (GGA-PBE) results for crystalline HfNb3Sb at its relaxed geometry.

Unit cell a=4.9970 b=4.9970 c=4.9970 alpha=90.00 beta=90.00 gamma=90.00
Fractional coordinates of all 5 atoms:
Hf1 0.0000 0.0000 0.0000
Nb1 0.0000 0.5000 0.5000
Nb2 0.5000 0.0000 0.5000
Nb3 0.5000 0.5000 0.0000
Sb1 0.5000 0.5000 0.5000

Properties
As for the uncorrected formation energy: 1.254 eV per atom. The volume is 124.8 Å³/f.u.



Record 12
DFT (GGA-PBE) results for crystalline La3Mo2N6 at its relaxed geometry.

Unit cell a=10.3852 b=10.3852 c=10.3852 alpha=157.65 beta=157.65 gamma=31.81
Fractional coordinates of all 11 atoms:
La1 0.0000 0.0000 0.0000
La2 0.1800 0.1800 0.0000
La3 0.8200 0.8200 0.0000
Mo1 0.4003 0.4003 0.0000
Mo2 0.5997 0.5997 0.0000
N1 0.0863 0.5863 0.5000
N2 0.3032 0.3032 0.0000
N3 0.4137 0.9137 0.5000
N4 0.5863 0.0863 0.5000
N5 0.6968 0.6968 0.0000
N6 0.9137 0.4137 0.5000

Properties
As for the uncorrected formation energy: -1.074 eV per atom. The volume is 161.8 Å³/f.u.



Record 13
DFT (GGA-PBE) results for crystalline KTmCuSe3 at its relaxed geometry.

Unit cell a=9.1244 b=4.0129 c=9.6670 alpha=90.00 beta=110.39 gamma=90.00
Fractional coordinates of all 12 atoms:
K1 0.2069 0.2500 0.2354
K2 0.7931 0.7500 0.7646
Tm1 0.3249 0.7500 0.8539
Tm2 0.6751 0.2500 0.1461
Cu1 0.0837 0.2500 0.5977
Cu2 0.9163 0.7500 0.4023
Se1 0.1100 0.2500 0.8574
Se2 0.2008 0.7500 0.5324
Se3 0.4633 0.7500 0.1640
Se4 0.5367 0.2500 0.8360
Se5 0.7992 0.2500 0.4676
Se6 0.8900 0.7500 0.1426

Properties
As for the uncorrected formation energy: -1.182 eV per atom. The volume is 165.9 Å³/f.u.



Record 14
DFT (GGA-PBE) results for crystalline U3Ga2Au4 at its relaxed geometry.

Unit cell a=8.4224 b=8.4224 c=5.8937 alpha=90.00 beta=90.00 gamma=120.12
Fractional coordinates of all 18 atoms:
U1 0.0000 0.0000 0.2500
U2 0.0000 0.0000 0.7500
U3 0.3344 0.6656 0.2500
U4 0.3344 0.6656 0.7500
U5 0.6656 0.3344 0.2500
U6 0.6656 0.3344 0.7500
Ga1 0.0007 0.6633 0.0000
Ga2 0.3367 0.9993 0.5000
Ga3 0.6633 0.0007 0.5000
Ga4 0.9993 0.3367 0.0000
Au1 0.0053 0.6725 0.5000
Au2 0.3266 0.3343 0.0000
Au3 0.3275 0.9947 0.0000
Au4 0.3343 0.3266 0.5000
Au5 0.6657 0.6734 0.5000
Au6 0.6725 0.0053 0.0000
Au7 0.6734 0.6657 0.0000
Au8 0.9947 0.3275 0.5000

Properties
The calculation puts the formation energy at -2.74 eV per formula unit. The volume is 180.8 Å³/f.u.



Record 15
DFT (GGA-PBE) results for crystalline Li2Pr2ZnPd5 at its relaxed geometry.

Unit cell a=9.6194 b=9.6194 c=3.7785 alpha=90.00 beta=90.00 gamma=90.00
Fractional coordinates of all 20 atoms:
Li1 0.1187 0.3813 0.0000
Li2 0.3813 0.8813 0.0000
Li3 0.6187 0.1187 0.0000
Li4 0.8813 0.6187 0.0000
Pr1 0.1809 0.6809 0.0000
Pr2 0.3191 0.1809 0.0000
Pr3 0.6809 0.8191 0.0000
Pr4 0.8191 0.3191 0.0000
Zn1 0.0000 0.0000 0.0000
Zn2 0.5000 0.5000 0.0000
Pd1 0.0000 0.5000 0.5000
Pd2 0.0625 0.2039 0.5000
Pd3 0.2039 0.9375 0.5000
Pd4 0.2961 0.4375 0.5000
Pd5 0.4375 0.7039 0.5000
Pd6 0.5000 0.0000 0.5000
Pd7 0.5625 0.2961 0.5000
Pd8 0.7039 0.5625 0.5000
Pd9 0.7961 0.0625 0.5000
Pd10 0.9375 0.7961 0.5000

Properties
The calculation puts the formation energy at -5.84 eV per formula unit. The volume is 174.8 Å³/f.u.



Record 16
DFT (GGA-PBE) results for crystalline KFeAs2 at its relaxed geometry.

Unit cell a=4.4691 b=4.4691 c=4.1863 alpha=90.00 beta=90.00 gamma=90.00
Fractional coordinates of all 4 atoms:
K1 0.0000 0.0000 0.0000
Fe1 0.5000 0.5000 0.0000
As1 0.0000 0.5000 0.5000
As2 0.5000 0.0000 0.5000

Properties
The calculation puts the formation energy at 2.33 eV per formula unit. The volume is 83.6 Å³/f.u.



Record 17
DFT (GGA-PBE) results for crystalline CuSe2Cl at its relaxed geometry.

Unit cell a=3.9860 b=3.9860 c=8.3794 alpha=90.00 beta=90.00 gamma=129.56
Fractional coordinates of all 4 atoms:
Cu1 0.0000 0.0000 0.0000
Se1 0.0000 0.0000 0.4351
Se2 0.5000 0.5000 0.2138
Cl1 0.5000 0.5000 0.8263

Properties
As for the uncorrected formation energy: 0.040 eV per atom. The volume is 102.6 Å³/f.u.



Record 18
DFT (GGA-PBE) results for crystalline Sr5Tl12Cd2 at its relaxed geometry.

Unit cell a=9.4582 b=9.4582 c=8.0995 alpha=91.18 beta=91.18 gamma=57.19
Fractional coordinates of all 19 atoms:
Sr1 0.0000 0.0000 0.0000
Sr2 0.2397 0.2397 0.9282
Sr3 0.3138 0.3138 0.4631
Sr4 0.6862 0.6862 0.5369
Sr5 0.7603 0.7603 0.0718
Tl1 0.0366 0.6478 0.7402
Tl2 0.0980 0.0980 0.5857
Tl3 0.1851 0.5888 0.1448
Tl4 0.3522 0.9634 0.2598
Tl5 0.4112 0.8149 0.8552
Tl6 0.4509 0.4509 0.8071
Tl7 0.5491 0.5491 0.1929
Tl8 0.5888 0.1851 0.1448
Tl9 0.6478 0.0366 0.7402
Tl10 0.8149 0.4112 0.8552
Tl11 0.9020 0.9020 0.4143
Tl12 0.9634 0.3522 0.2598
Cd1 0.2876 0.7124 0.5000
Cd2 0.7124 0.2876 0.5000

Properties
The calculation puts the formation energy at -4.00 eV per formula unit. The volume is 608.8 Å³/f.u.



Record 19
DFT (GGA-PBE) results for crystalline TbGa8Cu4 at its relaxed geometry.

Unit cell a=6.7932 b=6.7932 c=6.7932 alpha=98.67 beta=98.67 gamma=134.29
Fractional coordinates of all 13 atoms:
Tb1 0.0000 0.0000 0.0000
Ga1 0.0000 0.3466 0.3466
Ga2 0.0000 0.6534 0.6534
Ga3 0.2848 0.5000 0.7848
Ga4 0.3466 0.0000 0.3466
Ga5 0.5000 0.2848 0.7848
Ga6 0.5000 0.7152 0.2152
Ga7 0.6534 0.0000 0.6534
Ga8 0.7152 0.5000 0.2152
Cu1 0.0000 0.0000 0.5000
Cu2 0.0000 0.5000 0.0000
Cu3 0.5000 0.0000 0.0000
Cu4 0.5000 0.5000 0.5000

Properties
The calculation puts the formation energy at -2.87 eV per formula unit. The volume is 206.8 Å³/f.u.



Record 20
DFT (GGA-PBE) results for crystalline NdHo5Tm5 at its relaxed geometry.

Unit cell a=6.0290 b=6.0290 c=11.4195 alpha=90.00 beta=90.00 gamma=120.00
Fractional coordinates of all 11 atoms:
Nd1 0.0000 0.0000 0.0000
Ho1 0.0024 0.5012 0.5000
Ho2 0.4988 0.5012 0.5000
Ho3 0.4988 0.9976 0.5000
Ho4 0.6667 0.3333 0.2637
Ho5 0.6667 0.3333 0.7363
Tm1 0.0000 0.0000 0.3269
Tm2 0.0000 0.0000 0.6731
Tm3 0.3333 0.6667 0.1597
Tm4 0.3333 0.6667 0.8403
Tm5 0.6667 0.3333 0.0000

Properties
The calculation puts the formation energy at 3.65 eV per formula unit. The volume is 359.5 Å³/f.u.



Number 1: ρ 6.15 g/cm³. Number 2: ρ 9.06 g/cm³. Number 3: ρ 6.05 g/cm³. Number 4: ρ 12.16 g/cm³. Number 5: ρ 11.18 g/cm³. Number 6: ρ 7.74 g/cm³. Number 7: ρ 9.70 g/cm³. Number 8: ρ 3.00 g/cm³. Number 9: ρ 8.85 g/cm³. Number 10: ρ 12.07 g/cm³. Number 11: ρ 7.71 g/cm³. Number 12: ρ 7.11 g/cm³. Number 13: ρ 5.09 g/cm³. Number 14: ρ 15.07 g/cm³. Number 15: ρ 8.48 g/cm³. Number 16: ρ 4.86 g/cm³. Number 17: ρ 4.16 g/cm³. Number 18: ρ 8.50 g/cm³. Number 19: ρ 7.80 g/cm³. Number 20: ρ 8.38 g/cm³.